The following is a DFT calculation (PBE with a Hubbard U) of a relaxed structure of CeVF2.

Summary:
Its total DFT energy (no corrections) is -5.9842 eV/atom. Its space group is No. 166.

abc: 7.286 7.286 7.286
angles: 27.10 27.10 27.10
Element x y z (fractional)
Ce  0.000  0.000  0.000
V  0.500  0.500  0.500
F  0.125  0.125  0.125
F  0.875  0.875  0.875